# 1
DFT (GGA-PBE) results for a geometry-optimized BaDyPuO6 structure.

Raw formation energy ... -277.3 kJ/mol of atoms
E ... -76.47 eV/f.u.

a b c (Å): 5.8392 5.8392 11.0721
angles (deg): 90.00 90.00 120.00
Last column: nearest neighbours and their distance in Å.
Fractional coordinates of all 18 atoms:
Ba: 0.0000 0.0000 0.0000  6 O 2.75
Ba: 0.0000 0.0000 0.5000  6 O 2.75
Dy: 0.3333 0.6667 0.2500  6 O 2.28
Dy: 0.6667 0.3333 0.7500  6 O 2.28
Pu: 0.6667 0.3333 0.2500  6 O 2.02
Pu: 0.3333 0.6667 0.7500  6 O 2.02
O: 0.6413 0.6091 0.1499  1 Pu 2.02
O: 0.9678 0.3587 0.1499  1 Pu 2.02
O: 0.3587 0.9678 0.6499  1 Pu 2.02
O: 0.0322 0.6413 0.8501  1 Pu 2.02
O: 0.3909 0.3587 0.3501  1 Pu 2.02
O: 0.9678 0.6091 0.3501  1 Pu 2.02
O: 0.6091 0.9678 0.8501  1 Pu 2.02
O: 0.6413 0.0322 0.3501  1 Pu 2.02
O: 0.0322 0.3909 0.6499  1 Pu 2.02
O: 0.3909 0.0322 0.1499  1 Pu 2.02
O: 0.6091 0.6413 0.6499  1 Pu 2.02
O: 0.3587 0.3909 0.8501  1 Pu 2.02

---

# 2
DFT (GGA-PBE) results for a geometry-optimized MnTeSe structure.

Energy above the lowest structure with this stoichiometry ... 0.99 eV/f.u.
Raw formation energy ... -0.6 kJ/mol of atoms
E ... -15.81 eV/f.u.

a b c (Å): 4.6519 4.6519 4.6519
angles (deg): 60.00 60.00 60.00
Last column: nearest neighbours and their distance in Å.
Fractional coordinates of all 3 atoms:
Mn: 0.7500 0.7500 0.7500  4 Se 2.85, 4 Te 2.85
Se: 0.0000 0.0000 0.0000  4 Mn 2.85
Te: 0.5000 0.5000 0.5000  4 Mn 2.85

---

# 3
DFT (GGA-PBE) results for a geometry-optimized TlBiPd2C structure.

Formation energy ... 201.12 kJ/mol of atoms
E ... -15.43 eV/f.u.

a b c (Å): 5.0779 5.7937 5.0779
angles (deg): 90.00 90.00 90.00
Last column: nearest neighbours and their distance in Å.
Fractional coordinates of all 5 atoms:
C: 0.5000 0.5000 0.5000  4 Bi 3.59, 8 Pd 3.85
Tl: 0.0000 0.0000 0.0000  4 Pd 2.54
Bi: 0.0000 0.5000 0.0000  2 Tl 2.90
Pd: 0.0000 0.0000 0.5000  2 Tl 2.54
Pd: 0.5000 0.0000 0.0000  2 Tl 2.54

---

# 4
DFT (GGA-PBE) results for a geometry-optimized K2LaPrSe4 structure.

Raw formation energy ... -172.8 kJ/mol of atoms
E ... -40.17 eV/f.u.

a b c (Å): 4.4124 7.6437 8.1059
angles (deg): 108.29 90.00 90.00
Last column: nearest neighbours and their distance in Å.
Fractional coordinates of all 8 atoms:
K: 0.5000 0.0000 0.5000  6 Se 3.38-3.39
K: 0.0000 0.5000 0.5000  6 Se 3.37
La: 0.0000 0.0000 0.0000  6 Se 3.03-3.04
Pr: 0.5000 0.5000 0.0000  6 Se 3.01-3.02
Se: 0.5000 0.2390 0.2119  1 Pr 3.01, 2 La 3.03, 2 K 3.37
Se: 0.5000 0.7610 0.7881  1 Pr 3.01, 2 La 3.03, 2 K 3.37
Se: 0.0000 0.2645 0.7880  2 Pr 3.02, 1 La 3.04, 1 K 3.37
Se: 0.0000 0.7355 0.2120  2 Pr 3.02, 1 La 3.04, 1 K 3.37

---

# 5
DFT (GGA-PBE) results for a geometry-optimized BaTcAu2 structure.

Formation energy ... 24.92 kJ/mol of atoms
Energy above the lowest structure with this stoichiometry ... 0.84 eV/f.u.
E ... -17.81 eV/f.u.

a b c (Å): 3.4981 3.4981 7.5230
angles (deg): 90.00 90.00 90.02
Last column: nearest neighbours and their distance in Å.
Fractional coordinates of all 4 atoms:
Au: 0.0000 0.0000 0.9375  1 Au 2.82, 4 Tc 2.85
Au: 0.0000 0.0000 0.5625  1 Au 2.82, 4 Tc 2.85
Ba: 0.5000 0.5000 0.2500  8 Au 3.41, 4 Ba 3.50, 2 Tc 3.76
Tc: 0.5000 0.5000 0.7500  8 Au 2.85

---

# 6
DFT (GGA-PBE) results for a geometry-optimized Cs2ErAuBr6 structure.

Raw formation energy ... -141.1 kJ/mol of atoms
E ... -34.21 eV/f.u.

a b c (Å): 8.0441 8.0408 8.5449
angles (deg): 58.00 57.98 82.71
Last column: nearest neighbours and their distance in Å.
Fractional coordinates of all 10 atoms:
Cs: 0.7499 0.2498 0.5003  12 Br 4.03-4.29
Cs: 0.2501 0.7502 0.4997  12 Br 4.03-4.29
Er: 0.0000 0.0000 0.0000  6 Br 2.75-2.82
Au: 0.5000 0.5000 0.0000  2 Br 2.49
Br: 0.2272 0.2272 0.5447  1 Er 2.75
Br: 0.7723 0.7708 0.0005  1 Er 2.75
Br: 0.2663 0.7356 0.0000  1 Au 2.49
Br: 0.7337 0.2644 0.0000  1 Au 2.49
Br: 0.2277 0.2292 0.9995  1 Er 2.75
Br: 0.7728 0.7728 0.4553  1 Er 2.75

---

# 7
DFT (GGA-PBE) results for a geometry-optimized Cd2Pd8Au3 structure.

Formation energy ... -11.76 kJ/mol of atoms
Energy above the lowest structure with this stoichiometry ... 0.00 eV/f.u.
E ... -54.79 eV/f.u.

a b c (Å): 4.9029 8.4250 6.4063
angles (deg): 93.28 58.98 95.07
Last column: nearest neighbours and their distance in Å.
Fractional coordinates of all 13 atoms:
Cd: 0.3477 0.2809 0.2948  3 Au 2.80-2.92, 8 Pd 2.80-2.89
Cd: 0.6523 0.7191 0.7052  3 Au 2.80-2.92, 8 Pd 2.80-2.89
Pd: 0.2152 0.5752 0.5725  7 Pd 2.80-2.89, 3 Cd 2.80-2.89, 2 Au 2.83-2.84
Pd: 0.7848 0.4248 0.4275  7 Pd 2.80-2.89, 3 Cd 2.80-2.89, 2 Au 2.83-2.84
Pd: 0.9262 0.1378 0.1458  6 Pd 2.75-2.90, 3 Au 2.81-2.85, 2 Cd 2.85
Pd: 0.0738 0.8622 0.8542  6 Pd 2.75-2.90, 3 Au 2.81-2.85, 2 Cd 2.85
Pd: 0.7142 0.5748 0.0740  3 Au 2.81-2.88, 7 Pd 2.83-2.89, 2 Cd 2.88-2.89
Pd: 0.4394 0.1374 0.6400  6 Pd 2.75-2.90, 3 Au 2.80-2.87, 1 Cd 2.83
Pd: 0.5606 0.8626 0.3600  6 Pd 2.75-2.90, 3 Au 2.80-2.87, 1 Cd 2.83
Pd: 0.2858 0.4252 0.9260  3 Au 2.81-2.88, 7 Pd 2.83-2.89, 2 Cd 2.88-2.89
Au: 0.5000 0.0000 0.0000  6 Pd 2.80-2.84, 2 Au 2.82, 2 Cd 2.84
Au: 0.8619 0.2854 0.7855  2 Cd 2.80-2.92, 8 Pd 2.81-2.88, 1 Au 2.82
Au: 0.1381 0.7146 0.2145  2 Cd 2.80-2.92, 8 Pd 2.81-2.88, 1 Au 2.82

---

# 8
DFT (GGA-PBE) results for a geometry-optimized ZrHg2Te2 structure.

Energy above the lowest structure with this stoichiometry ... 0.81 eV/f.u.
Raw formation energy ... -5.7 kJ/mol of atoms
E ... -15.73 eV/f.u.

a b c (Å): 7.5079 7.5079 5.1056
angles (deg): 90.00 90.00 90.00
Last column: nearest neighbours and their distance in Å.
Fractional coordinates of all 10 atoms:
Te: 0.3465 0.8465 0.0000  2 Zr 2.85, 2 Hg 3.18
Te: 0.8465 0.6535 0.0000  2 Zr 2.85, 2 Hg 3.18
Te: 0.6535 0.1535 0.0000  2 Zr 2.85, 2 Hg 3.18
Te: 0.1535 0.3465 0.0000  2 Zr 2.85, 2 Hg 3.18
Hg: 0.1679 0.6679 0.5000  6 Te 3.18-3.51
Hg: 0.6679 0.8321 0.5000  6 Te 3.18-3.51
Hg: 0.8321 0.3321 0.5000  6 Te 3.18-3.51
Hg: 0.3321 0.1679 0.5000  6 Te 3.18-3.51
Zr: 0.0000 0.0000 0.0000  4 Te 2.85
Zr: 0.5000 0.5000 0.0000  4 Te 2.85

---

# 9
DFT (GGA-PBE) results for a geometry-optimized Er4TeAu structure.

Energy above the lowest structure with this stoichiometry ... 1.45 eV/f.u.
Raw formation energy ... -46.7 kJ/mol of atoms
E ... -27.57 eV/f.u.

a b c (Å): 5.9425 7.8222 8.2219
angles (deg): 90.00 90.00 107.79
Last column: nearest neighbours and their distance in Å.
Fractional coordinates of all 12 atoms:
Er: 0.5912 0.4939 0.7500  1 Au 2.84
Er: 0.4088 0.5061 0.2500  1 Au 2.84
Er: 0.4309 0.9987 0.7500  2 Te 2.98-3.07, 1 Au 3.18
Er: 0.5691 0.0013 0.2500  2 Te 2.98-3.07, 1 Au 3.18
Er: 0.0331 0.7350 0.0439  2 Au 2.91-2.92, 2 Te 3.07-3.09
Er: 0.9669 0.2650 0.5439  2 Au 2.91-2.92, 2 Te 3.07-3.09
Er: 0.0331 0.7350 0.4561  2 Au 2.91-2.92, 2 Te 3.07-3.09
Er: 0.9669 0.2650 0.9561  2 Au 2.91-2.92, 2 Te 3.07-3.09
Te: 0.8928 0.9221 0.7500  7 Er 2.98-3.28
Te: 0.1072 0.0779 0.2500  7 Er 2.98-3.28
Au: 0.1597 0.5792 0.7500  5 Er 2.84-2.92
Au: 0.8403 0.4208 0.2500  5 Er 2.84-2.92

---

# 10
DFT (GGA-PBE) results for a geometry-optimized FeReGe structure.

Formation energy ... 15.26 kJ/mol of atoms
Energy above the lowest structure with this stoichiometry ... 0.18 eV/f.u.
E ... -25.05 eV/f.u.

a b c (Å): 2.7204 4.0950 4.0950
angles (deg): 120.00 90.00 90.00
Last column: nearest neighbours and their distance in Å.
Fractional coordinates of all 3 atoms:
Re: 0.6668 0.3333 0.6667  2 Re 2.72, 6 Fe 2.73, 6 Ge 2.73
Ge: 0.1669 0.6667 0.3333  3 Fe 2.36
Fe: 0.1663 0.0000 0.0000  3 Ge 2.36

---

# 11
DFT (GGA-PBE) results for a geometry-optimized La2BeRhC structure.

Formation energy ... -27.92 kJ/mol of atoms
E ... -31.60 eV/f.u.

a b c (Å): 5.3249 5.3249 3.4365
angles (deg): 90.00 90.00 90.00
Last column: nearest neighbours and their distance in Å.
Fractional coordinates of all 5 atoms:
Be: 0.0000 0.0000 0.5000  2 C 1.72
C: 0.0000 0.0000 0.0000  2 Be 1.72
Rh: 0.5000 0.5000 0.5000  8 La 3.17, 2 Rh 3.44
La: 0.0000 0.5000 0.0000  2 C 2.66
La: 0.5000 0.0000 0.0000  2 C 2.66

---

# 12
DFT (GGA-PBE) results for a geometry-optimized Sr2Hg3Pb2 structure.

Formation energy ... -35.54 kJ/mol of atoms
E ... -14.26 eV/f.u.

a b c (Å): 5.1247 6.5287 7.3800
angles (deg): 105.78 90.00 113.11
Last column: nearest neighbours and their distance in Å.
Fractional coordinates of all 7 atoms:
Sr: 0.8572 0.7143 0.2521  3 Hg 3.35-3.69, 4 Pb 3.54-3.56
Sr: 0.1428 0.2857 0.7479  3 Hg 3.35-3.69, 4 Pb 3.54-3.56
Hg: 0.5000 0.0000 0.0000  2 Hg 3.14, 4 Pb 3.30
Hg: 0.6058 0.2117 0.4430  2 Hg 2.90-3.14, 3 Pb 3.13-3.20
Hg: 0.3942 0.7883 0.5570  2 Hg 2.90-3.14, 3 Pb 3.13-3.20
Pb: 0.8502 0.7004 0.7688  5 Hg 3.13-3.30
Pb: 0.1498 0.2996 0.2312  5 Hg 3.13-3.30

---

# 13
DFT (GGA-PBE) results for a geometry-optimized Pm3Sm8Th2 structure.

Formation energy ... 14.35 kJ/mol of atoms
E ... -64.91 eV/f.u.

a b c (Å): 14.7803 7.0899 15.6856
angles (deg): 82.63 96.53 146.11
Last column: nearest neighbours and their distance in Å.
Fractional coordinates of all 26 atoms:
Pm: 0.4433 0.5842 0.3021  8 Sm 3.49-3.90, 2 Th 3.63-3.68
Pm: 0.5000 0.0000 0.5000  2 Th 3.24, 2 Sm 3.48
Pm: 0.9451 0.3183 0.7938  8 Sm 3.44-3.73, 1 Th 3.59
Pm: 0.0549 0.6817 0.2062  8 Sm 3.44-3.73, 1 Th 3.59
Pm: 0.0000 0.0000 0.0000  6 Sm 3.33-3.70, 2 Th 3.51
Pm: 0.5567 0.4158 0.6979  8 Sm 3.49-3.90, 2 Th 3.63-3.68
Sm: 0.7073 0.8161 0.1370  2 Th 3.44-3.66, 6 Sm 3.47-3.78, 1 Pm 3.65
Sm: 0.7929 0.9077 0.3683  5 Sm 3.39-3.71, 2 Th 3.42-3.60, 1 Pm 3.57
Sm: 0.9300 0.8113 0.7821  1 Th 3.34, 4 Pm 3.44-3.70, 5 Sm 3.52-3.71
Sm: 0.6327 0.4985 0.9251  3 Pm 3.33-3.73, 1 Th 3.36, 4 Sm 3.47-3.66
Sm: 0.4196 0.0393 0.2737  4 Pm 3.49-3.66, 2 Th 3.51-3.74, 6 Sm 3.53-3.83
Sm: 0.8050 0.4542 0.3565  6 Sm 3.39-3.78, 3 Pm 3.48-3.59, 3 Th 3.49-3.76
Sm: 0.1794 0.8223 0.4368  2 Th 3.45-3.66, 6 Sm 3.57-3.84, 3 Pm 3.58-3.79
Sm: 0.7093 0.1326 0.9455  6 Sm 3.49-3.66, 2 Th 3.54-3.88, 2 Pm 3.61-3.70
Sm: 0.2907 0.8674 0.0545  6 Sm 3.49-3.66, 2 Th 3.54-3.88, 2 Pm 3.61-3.70
Sm: 0.8206 0.1777 0.5632  2 Th 3.45-3.66, 6 Sm 3.57-3.84, 3 Pm 3.58-3.79
Sm: 0.0700 0.1887 0.2179  1 Th 3.34, 4 Pm 3.44-3.70, 5 Sm 3.52-3.71
Sm: 0.5804 0.9607 0.7263  4 Pm 3.49-3.66, 2 Th 3.51-3.74, 6 Sm 3.53-3.83
Sm: 0.3673 0.5015 0.0749  3 Pm 3.33-3.73, 1 Th 3.36, 4 Sm 3.47-3.66
Sm: 0.1950 0.5458 0.6435  6 Sm 3.39-3.78, 3 Pm 3.48-3.59, 3 Th 3.49-3.76
Sm: 0.2071 0.0923 0.6317  5 Sm 3.39-3.71, 2 Th 3.42-3.60, 1 Pm 3.57
Sm: 0.2927 0.1839 0.8630  2 Th 3.44-3.66, 6 Sm 3.47-3.78, 1 Pm 3.65
Th: 0.6870 0.2955 0.1401  7 Sm 3.36-3.76, 3 Pm 3.51-3.68
Th: 0.8551 0.7203 0.5708  1 Pm 3.24, 1 Th 3.27, 5 Sm 3.34-3.60
Th: 0.1449 0.2797 0.4292  1 Pm 3.24, 1 Th 3.27, 5 Sm 3.34-3.60
Th: 0.3130 0.7045 0.8599  7 Sm 3.36-3.76, 3 Pm 3.51-3.68

---

# 14
DFT (GGA-PBE) results for a geometry-optimized Y2Ga3Au structure.

Formation energy ... -70.54 kJ/mol of atoms
E ... -29.67 eV/f.u.

a b c (Å): 4.4849 5.6955 5.7706
angles (deg): 78.02 67.13 66.81
Last column: nearest neighbours and their distance in Å.
Fractional coordinates of all 6 atoms:
Y: 0.5349 0.2168 0.7134  9 Ga 3.08-3.26, 3 Au 3.23-3.25
Y: 0.4603 0.7854 0.2941  3 Au 3.09-3.10, 9 Ga 3.12-3.29
Ga: 0.8357 0.6223 0.7063  2 Ga 2.61, 1 Au 2.63
Ga: 0.8395 0.2116 0.1095  1 Ga 2.58, 2 Au 2.61
Ga: 0.1625 0.7879 0.8870  3 Ga 2.58-2.61
Au: 0.1671 0.3761 0.2897  3 Ga 2.61-2.63

---

# 15
DFT (GGA-PBE) results for a geometry-optimized InIrF2 structure.

Energy above the lowest structure with this stoichiometry ... 0.00 eV/f.u.
Raw formation energy ... -87.1 kJ/mol of atoms
E ... -18.95 eV/f.u.

a b c (Å): 8.2771 8.2771 8.2771
angles (deg): 19.95 19.95 19.95
Last column: nearest neighbours and their distance in Å.
Fractional coordinates of all 4 atoms:
F: 0.9169 0.9169 0.9169  1 Ir 2.02
F: 0.0831 0.0831 0.0831  1 Ir 2.02
Ir: 0.0000 0.0000 0.0000  2 F 2.02
In: 0.5000 0.5000 0.5000  6 F 2.62, 6 In 2.87

---

# 16
DFT (GGA-PBE) results for a geometry-optimized ScHg2Os structure.

Formation energy ... 16.70 kJ/mol of atoms
Energy above the lowest structure with this stoichiometry ... 0.34 eV/f.u.
E ... -17.47 eV/f.u.

a b c (Å): 5.1983 5.1983 5.1983
angles (deg): 132.13 132.90 69.42
Last column: nearest neighbours and their distance in Å.
Fractional coordinates of all 4 atoms:
Hg: 0.9998 0.9998 0.0000  4 Os 2.96, 4 Hg 2.99-3.00, 4 Sc 2.99
Hg: 0.7508 0.2508 0.5000  4 Sc 2.96, 4 Os 2.98-3.00, 4 Hg 2.99-3.00
Os: 0.5016 0.5016 0.0000  4 Sc 2.96-3.02, 8 Hg 2.96-3.00
Sc: 0.2479 0.7479 0.5000  4 Os 2.96-3.02, 8 Hg 2.96-2.99

---

# 17
DFT (GGA-PBE) results for a geometry-optimized La2CeTm structure.

Formation energy ... 7.19 kJ/mol of atoms
Energy above the lowest structure with this stoichiometry ... 0.06 eV/f.u.
E ... -19.96 eV/f.u.

a b c (Å): 5.0530 5.1267 5.1267
angles (deg): 90.00 90.00 90.00
Last column: nearest neighbours and their distance in Å.
Fractional coordinates of all 4 atoms:
Tm: 0.5000 0.0000 0.0000  8 La 3.60, 4 Ce 3.63
Ce: 0.5000 0.5000 0.5000  8 La 3.60, 4 Tm 3.63
La: 0.0000 0.0000 0.5000  4 Ce 3.60, 4 Tm 3.60, 4 La 3.63
La: 0.0000 0.5000 0.0000  4 Ce 3.60, 4 Tm 3.60, 4 La 3.63

---

# 18
DFT (GGA-PBE) results for a geometry-optimized ScTa2Os structure.

Formation energy ... -1.48 kJ/mol of atoms
E ... -41.33 eV/f.u.

a b c (Å): 4.6844 4.6844 3.1529
angles (deg): 90.00 90.00 90.00
Last column: nearest neighbours and their distance in Å.
Fractional coordinates of all 4 atoms:
Os: 0.5000 0.0000 0.5000  8 Ta 2.82, 2 Os 3.15
Sc: 0.0000 0.5000 0.5000  8 Ta 2.82, 2 Sc 3.15
Ta: 0.0000 0.0000 0.0000  4 Os 2.82, 4 Sc 2.82, 2 Ta 3.15
Ta: 0.5000 0.5000 0.0000  4 Os 2.82, 4 Sc 2.82, 2 Ta 3.15

---

# 19
DFT (GGA-PBE) results for a geometry-optimized KScTe3 structure.

Energy above the lowest structure with this stoichiometry ... 0.00 eV/f.u.
Raw formation energy ... -74.0 kJ/mol of atoms
E ... -20.69 eV/f.u.

a b c (Å): 5.6661 5.6661 5.6661
angles (deg): 90.00 90.00 90.00
Last column: nearest neighbours and their distance in Å.
Fractional coordinates of all 5 atoms:
Sc: 0.0000 0.0000 0.0000  6 Te 2.83
K: 0.5000 0.5000 0.5000  12 Te 4.01
Te: 0.0000 0.5000 0.0000  2 Sc 2.83
Te: 0.0000 0.0000 0.5000  2 Sc 2.83
Te: 0.5000 0.0000 0.0000  2 Sc 2.83

---

# 20
DFT (GGA-PBE) results for a geometry-optimized Mg3NiW structure.

Formation energy ... 166.94 kJ/mol of atoms
Energy above the lowest structure with this stoichiometry ... 3.77 eV/f.u.
E ... -14.87 eV/f.u.

a b c (Å): 5.1754 5.1754 5.1754
angles (deg): 90.00 90.00 90.00
Last column: nearest neighbours and their distance in Å.
Fractional coordinates of all 5 atoms:
Ni: 0.5000 0.5000 0.5000  12 Mg 3.66
Mg: 0.0000 0.5000 0.0000  2 W 2.59
Mg: 0.0000 0.0000 0.5000  2 W 2.59
Mg: 0.5000 0.0000 0.0000  2 W 2.59
W: 0.0000 0.0000 0.0000  6 Mg 2.59